(1)
# MoRh5 (PBE, relaxed)
data_MoRh5
_space_group_name_H-M_alt 'A m m 2'
_space_group_IT_number 38
_cell_length_a 4.394
_cell_length_b 2.760
_cell_length_c 14.234
_cell_angle_alpha 90.00
_cell_angle_beta 90.00
_cell_angle_gamma 90.00
loop_
_space_group_symop_operation_xyz
'x,y,z'
'-x,-y,z'
'-x,y,z'
'x,-y,z'
'x,y+1/2,z+1/2'
'-x,-y+1/2,z+1/2'
'-x,y+1/2,z+1/2'
'x,-y+1/2,z+1/2'
loop_
_atom_site_label
_atom_site_fract_x
_atom_site_fract_y
_atom_site_fract_z
Mo1 0.000 0.000 0.000
Rh1 0.000 0.000 0.333
Rh2 0.000 0.000 0.662
Rh3 0.500 0.000 0.111
Rh4 0.500 0.000 0.443
Rh5 0.500 0.000 0.777
# - Magnetic moment: 0.000 μB per formula unit
# - Final energy: -96.730 eV for the cell shown
# - Energy relative to the elements: -0.1295 eV/atom
# - Polymorph energy (0 for the lowest one): 3.4 kJ/mol of atoms

***

(2)
# MoRh (PBE, relaxed)
data_MoRh
_space_group_name_H-M_alt 'I 41/a m d'
_space_group_IT_number 141
_cell_length_a 3.935
_cell_length_b 3.935
_cell_length_c 7.721
_cell_angle_alpha 90.00
_cell_angle_beta 90.00
_cell_angle_gamma 90.00
loop_
_space_group_symop_operation_xyz
'x,y,z'
'-x,-y,-z'
'-y+1/4,x+3/4,z+1/4'
'y+1/4,-x+3/4,-z+1/4'
'-x+1/2,-y,z+1/2'
'x+1/2,y,-z+1/2'
'y+1/4,-x+1/4,z+3/4'
'-y+1/4,x+1/4,-z+3/4'
'x,-y,-z'
'-x,y,z'
'-y+1/4,-x+1/4,-z+3/4'
'y+1/4,x+1/4,z+3/4'
'-x+1/2,y,-z+1/2'
'x+1/2,-y,z+1/2'
'y+1/4,x+3/4,-z+1/4'
'-y+1/4,-x+3/4,z+1/4'
'x+1/2,y+1/2,z+1/2'
'-x+1/2,-y+1/2,-z+1/2'
'-y+3/4,x+1/4,z+3/4'
'y+3/4,-x+1/4,-z+3/4'
'-x,-y+1/2,z'
'x,y+1/2,-z'
'y+3/4,-x+3/4,z+1/4'
'-y+3/4,x+3/4,-z+1/4'
'x+1/2,-y+1/2,-z+1/2'
'-x+1/2,y+1/2,z+1/2'
'-y+3/4,-x+3/4,-z+1/4'
'y+3/4,x+3/4,z+1/4'
'-x,y+1/2,-z'
'x,-y+1/2,z'
'y+3/4,x+1/4,-z+3/4'
'-y+3/4,-x+1/4,z+3/4'
loop_
_atom_site_label
_atom_site_fract_x
_atom_site_fract_y
_atom_site_fract_z
Mo1 0.000 0.250 0.375
Rh1 0.000 0.250 0.875
# - Magnetic moment: 0.000 μB per formula unit
# - Final energy: -73.271 eV for the cell shown
# - Energy relative to the elements: -0.0676 eV/atom

***

(3)
# MoRh (PBE, relaxed)
data_MoRh
_space_group_name_H-M_alt 'F m -3 m'
_space_group_IT_number 225
_space_group_name_Hall '-F 4 2 3'
_cell_length_a 5.140
_cell_length_b 5.140
_cell_length_c 5.140
_cell_angle_alpha 90.00
_cell_angle_beta 90.00
_cell_angle_gamma 90.00
loop_
_atom_site_label
_atom_site_fract_x
_atom_site_fract_y
_atom_site_fract_z
Mo1 0.000 0.000 0.000
Rh1 0.000 0.000 0.500
# - Magnetic moment: 0.009 μB per formula unit
# - Final energy: -66.406 eV for the cell shown
# - Energy relative to the elements: 0.7905 eV/atom

***

(4)
# Mo5Rh3 (PBE, relaxed)
data_Mo5Rh3
_space_group_name_H-M_alt 'C m m m'
_space_group_IT_number 65
_space_group_name_Hall '-C 2 2'
_cell_length_a 7.845
_cell_length_b 7.902
_cell_length_c 3.911
_cell_angle_alpha 90.00
_cell_angle_beta 90.00
_cell_angle_gamma 90.00
loop_
_atom_site_label
_atom_site_fract_x
_atom_site_fract_y
_atom_site_fract_z
Mo1 0.000 0.000 0.000
Mo2 0.000 0.255 0.500
Mo3 0.250 0.250 0.000
Rh1 0.000 0.500 0.000
Rh2 0.248 0.500 0.500
# - Magnetic moment: 0.000 μB per formula unit
# - Final energy: -153.325 eV for the cell shown
# - Energy relative to the elements: -0.0566 eV/atom
# - Polymorph energy (0 for the lowest one): 0.0 kJ/mol of atoms

***

(5)
# MoRh (PBE, relaxed)
data_MoRh
_space_group_name_H-M_alt 'P 63/m m c'
_space_group_IT_number 194
_space_group_name_Hall '-P 6c 2c'
_cell_length_a 4.3449
_cell_length_b 4.3449
_cell_length_c 7.9156
_cell_angle_alpha 90.00
_cell_angle_beta 90.00
_cell_angle_gamma 120.00
loop_
_atom_site_label
_atom_site_fract_x
_atom_site_fract_y
_atom_site_fract_z
Mo1 0.0000 0.0000 0.2500
Mo2 0.3333 0.6667 0.2500
Rh1 0.3333 0.6667 0.5792
# - Magnetic moment: 0.000 μB per formula unit
# - Final energy: -70.005 eV for the cell shown
# - Energy relative to the elements: 0.3407 eV/atom

***

(6)
# Mo3Rh (PBE, relaxed)
data_Mo3Rh
_space_group_name_H-M_alt 'P m -3 m'
_space_group_IT_number 221
_space_group_name_Hall '-P 4 2 3'
_cell_length_a 4.752
_cell_length_b 4.752
_cell_length_c 4.752
_cell_angle_alpha 90.00
_cell_angle_beta 90.00
_cell_angle_gamma 90.00
loop_
_atom_site_label
_atom_site_fract_x
_atom_site_fract_y
_atom_site_fract_z
Mo1 0.000 0.000 0.500
Rh1 0.000 0.000 0.000
# - Magnetic moment: 1.527 μB per formula unit
# - Final energy: -29.462 eV for the cell shown
# - Energy relative to the elements: 2.5957 eV/atom